# 1
VASP calculation (meta-GGA SCAN) on Rb2PtCN at its PBEsol-relaxed geometry.

Output
**Electronic total energy**: -25.43 eV per atom
**Space-group type**: P4/mmm, No. 123

Cell lengths 6.123, 6.123, 2.698 Å; angles 90.00, 90.00, 90.00 degrees
Sites, in units of the cell vectors:
Rb 0.000 0.500 0.000
Rb 0.500 0.000 0.000
Pt 0.000 0.000 0.500
C 0.500 0.500 0.000
N 0.500 0.500 0.500

# 2
VASP calculation (meta-GGA SCAN) on TePtCN2 at its PBEsol-relaxed geometry.

Output
**Electronic total energy**: -25.25 eV per atom
**Space-group type**: P4/mmm, No. 123

Cell lengths 3.617, 3.617, 7.705 Å; angles 90.00, 90.00, 90.00 degrees
Sites, in units of the cell vectors:
Te 0.000 0.000 0.000
Pt 0.000 0.000 0.500
C 0.500 0.500 0.000
N 0.000 0.500 0.500
N 0.500 0.000 0.500

# 3
VASP calculation (meta-GGA SCAN) on ZnPtC4N4 at its PBEsol-relaxed geometry.

Output
**Electronic total energy**: -16.03 eV per atom
**Space-group type**: P4_2/mcm, No. 132

Cell lengths 5.393, 5.393, 13.270 Å; angles 90.00, 90.00, 90.00 degrees
Sites, in units of the cell vectors:
Zn 0.000 0.000 0.250
Zn 0.000 0.000 0.750
Pt 0.500 0.500 0.000
Pt 0.500 0.500 0.500
C 0.316 0.316 0.103
C 0.316 0.316 0.897
C 0.316 0.684 0.397
C 0.316 0.684 0.603
C 0.684 0.316 0.397
C 0.684 0.316 0.603
C 0.684 0.684 0.103
C 0.684 0.684 0.897
N 0.204 0.204 0.163
N 0.204 0.204 0.837
N 0.204 0.796 0.337
N 0.204 0.796 0.663
N 0.796 0.204 0.337
N 0.796 0.204 0.663
N 0.796 0.796 0.163
N 0.796 0.796 0.837

# 4
VASP calculation (meta-GGA SCAN) on ReRh2CN at its PBEsol-relaxed geometry.

Output
**Electronic total energy**: -29.90 eV per atom
**Space-group type**: P4/mmm, No. 123

Cell lengths 3.834, 3.834, 4.048 Å; angles 90.00, 90.00, 90.00 degrees
Sites, in units of the cell vectors:
Re 0.000 0.000 0.000
Rh 0.000 0.500 0.500
Rh 0.500 0.000 0.500
C 0.500 0.500 0.500
N 0.500 0.500 0.000

# 5
VASP calculation (meta-GGA SCAN) on ReSnC2N at its PBEsol-relaxed geometry.

Output
**Electronic total energy**: -24.72 eV per atom
**Space-group type**: P4/mmm, No. 123

Cell lengths 4.071, 4.071, 3.761 Å; angles 90.00, 90.00, 90.00 degrees
Sites, in units of the cell vectors:
Re 0.000 0.000 0.000
Sn 0.500 0.500 0.000
C 0.000 0.500 0.500
C 0.500 0.000 0.500
N 0.000 0.000 0.500

# 6
VASP calculation (meta-GGA SCAN) on RhCN2 at its PBEsol-relaxed geometry.

Output
**Electronic total energy**: -15.28 eV per atom
**Space-group type**: R-3m, No. 166

Cell lengths 5.018, 5.018, 5.018 Å; angles 36.80, 36.80, 36.80 degrees
Sites, in units of the cell vectors:
Rh 0.000 0.000 0.000
C 0.500 0.500 0.500
N 0.411 0.411 0.411
N 0.589 0.589 0.589

The following raw formation energy values (in eV per formula unit) correspond, in order, to the records above: 3.9, 9.9, 0.9, 8.5, 12.9, 1.3.